# 1
! Nd3Pd3Pb, optimized geometry, DFT PBE; values from VASP
! Raw total energy ... -75.85 eV/cell
! Formation energy from the elements ... -0.6192 eV/atom
! Symmetry ... No. 176
&SYSTEM
  ibrav = 0, nat = 14, ntyp = 3
/
ATOMIC_SPECIES
Nd 144.24 Nd.upf
Pd 106.42 Pd.upf
Pb 207.20 Pb.upf
CELL_PARAMETERS angstrom
-3.541 2.434 2.383
-5.087 -7.571 0.173
5.798 1.757 6.821
ATOMIC_POSITIONS crystal
Nd 0.750 0.677 0.598
Nd 0.750 0.402 0.079
Nd 0.750 0.921 0.323
Nd 0.250 0.323 0.402
Nd 0.250 0.598 0.921
Nd 0.250 0.079 0.677
Pd 0.250 0.839 0.806
Pd 0.250 0.194 0.033
Pd 0.250 0.967 0.161
Pd 0.750 0.161 0.194
Pd 0.750 0.806 0.967
Pd 0.750 0.033 0.839
Pb 0.250 0.667 0.333
Pb 0.750 0.333 0.667

***

# 2
! SrRe3, optimized geometry, DFT PBE; values from VASP
! Raw total energy ... -35.93 eV/cell
! Formation energy from the elements ... 0.7728 eV/atom
! Symmetry ... No. 12
&SYSTEM
  ibrav = 0, nat = 4, ntyp = 2
/
ATOMIC_SPECIES
Re 186.21 Re.upf
Sr 87.62 Sr.upf
CELL_PARAMETERS angstrom
-4.726 -1.626 0.515
-3.073 -3.948 -0.458
-0.002 -2.296 5.482
ATOMIC_POSITIONS crystal
Re 0.500 0.500 0.500
Re 0.216 0.216 0.348
Re 0.784 0.784 0.652
Sr 0.000 0.000 0.000

***

# 3
! Mg4Si7, optimized geometry, DFT PBE; values from VASP
! Raw total energy ... -86.51 eV/cell
! Symmetry ... No. 6
! Uncorrected formation energy ... 1.09 eV per formula unit
&SYSTEM
  ibrav = 0, nat = 22, ntyp = 2
/
ATOMIC_SPECIES
Mg 24.30 Mg.upf
Si 28.09 Si.upf
CELL_PARAMETERS angstrom
-2.023 3.230 0.801
-5.910 -3.573 -0.515
-0.062 -3.553 14.170
ATOMIC_POSITIONS crystal
Mg 0.500 0.191 0.066
Mg 0.500 0.445 0.498
Mg 0.000 0.241 0.664
Mg 0.000 0.638 0.340
Mg 0.500 0.666 0.161
Mg 0.000 0.211 0.899
Mg 0.000 0.749 0.573
Mg 0.000 0.142 0.418
Si 0.000 0.505 0.040
Si 0.000 0.868 0.038
Si 0.500 0.518 0.927
Si 0.500 0.884 0.931
Si 0.500 0.827 0.438
Si 0.500 0.067 0.551
Si 0.000 0.903 0.796
Si 0.000 0.986 0.192
Si 0.500 0.350 0.302
Si 0.500 0.537 0.685
Si 0.000 0.546 0.794
Si 0.000 0.348 0.194
Si 0.500 0.987 0.290
Si 0.500 0.894 0.698

***

# 4
! Cs4K2GaAs2, optimized geometry, DFT PBE; values from VASP
! Raw total energy ... -20.04 eV/cell
! Formation energy from the elements ... -0.2335 eV/atom
! Symmetry ... No. 12
&SYSTEM
  ibrav = 0, nat = 9, ntyp = 4
/
ATOMIC_SPECIES
Cs 132.91 Cs.upf
K 39.10 K.upf
Ga 69.72 Ga.upf
As 74.92 As.upf
CELL_PARAMETERS angstrom
5.472 0.998 0.679
2.727 11.055 -1.683
2.727 2.494 10.900
ATOMIC_POSITIONS crystal
Cs 0.129 0.696 0.009
Cs 0.871 0.991 0.304
Cs 0.871 0.304 0.991
Cs 0.129 0.009 0.696
K 0.045 0.623 0.623
K 0.955 0.377 0.377
Ga 0.500 0.000 0.000
As 0.370 0.149 0.149
As 0.630 0.851 0.851

***

Which of these has the highest raw total energy?
Cs4K2GaAs2

***

Which formula does entry 1 have?
Nd3Pd3Pb

***

The highest raw total energy belongs to which entry?
Cs4K2GaAs2